Record 1
PuMg2Tl, optimized geometry, DFT GGA-PBE; E_form = 0.114 eV per atom; E_tot = -4.86 eV per atom; M_tot = 6.1 Bohr magnetons per cell; volume = 98.3 Å³ per cell; symmetry = Fm-3m, No. 225
1.0
-2.477 0.379 4.534
1.294 -3.121 3.927
2.452 1.923 4.138
Mg Pu Tl
2 1 1
Direct
0.750 0.750 0.750
0.250 0.250 0.250
0.000 0.000 0.000
0.500 0.500 0.500

Record 2
SmGaAg2, optimized geometry, DFT GGA-PBE; E_form = -0.193 eV per atom; E_tot = -3.56 eV per atom; M_tot = 0.0 Bohr magnetons per cell; volume = 87.3 Å³ per cell; symmetry = P4/mmm, No. 123
1.0
-0.865 3.813 -2.029
-4.365 -0.805 0.346
-0.071 2.079 3.936
Ag Ga Sm
2 1 1
Direct
0.000 0.000 0.500
0.000 0.500 0.000
0.500 0.000 0.000
0.500 0.500 0.500

Record 3
KCd2In4Hg, optimized geometry, DFT GGA-PBE; E_form = -0.028 eV per atom; E_tot = -1.80 eV per atom; M_tot = 0.0 Bohr magnetons per cell; volume = 236.9 Å³ per cell; symmetry = R-3m, No. 166
1.0
-2.076 -2.546 -3.914
1.823 -4.588 -1.319
-6.850 -6.953 4.821
K In Hg Cd
1 4 1 2
Direct
0.000 0.000 0.000
0.403 0.403 0.791
0.129 0.129 0.613
0.597 0.597 0.209
0.871 0.871 0.387
0.500 0.500 0.500
0.749 0.749 0.753
0.251 0.251 0.247

Record 4
MgZn6Ag8, optimized geometry, DFT GGA-PBE; E_form = 0.022 eV per atom; E_tot = -2.11 eV per atom; M_tot = 0.0 Bohr magnetons per cell; volume = 270.3 Å³ per cell; symmetry = R-3, No. 148
1.0
-1.302 7.453 1.331
-7.027 2.374 2.002
-1.560 2.578 6.209
Zn Ag Mg
6 8 1
Direct
0.339 0.615 0.122
0.923 0.339 0.122
0.661 0.385 0.878
0.077 0.661 0.878
0.615 0.923 0.122
0.385 0.077 0.878
0.143 0.409 0.628
0.751 0.751 0.748
0.409 0.820 0.628
0.180 0.857 0.372
0.591 0.180 0.372
0.820 0.143 0.628
0.249 0.249 0.252
0.857 0.591 0.372
0.000 0.000 0.000

Record 5
Ac7Tb2Nd2, optimized geometry, DFT GGA-PBE; E_form = 0.248 eV per atom; E_tot = -4.08 eV per atom; M_tot = 0.0 Bohr magnetons per cell; volume = 473.1 Å³ per cell; symmetry = C2/m, No. 12
1.0
-2.041 -6.464 -0.082
-0.086 -1.288 8.422
-8.172 1.347 2.000
Tb Ac Nd
2 7 2
Direct
0.274 0.206 0.206
0.726 0.794 0.794
0.748 0.427 0.082
0.000 0.000 0.000
0.252 0.918 0.573
0.738 0.541 0.541
0.252 0.573 0.918
0.262 0.459 0.459
0.748 0.082 0.427
0.500 0.172 0.828
0.500 0.828 0.172

Record 6
Tc2SnGe, optimized geometry, DFT GGA-PBE; E_form = 0.508 eV per atom; E_tot = -6.83 eV per atom; M_tot = 0.0 Bohr magnetons per cell; volume = 70.9 Å³ per cell; symmetry = R-3m, No. 166
1.0
-2.668 0.743 -1.071
-2.292 0.369 1.851
0.501 9.366 1.132
Tc Sn Ge
2 1 1
Direct
0.902 0.902 0.293
0.098 0.098 0.707
0.000 0.000 0.000
0.500 0.500 0.500

Record 7
K2NbTe4Au, optimized geometry, DFT GGA-PBE; formation energy without anion corrections = -632 meV per atom; E_tot = -4.15 eV per atom; M_tot = 0.0 Bohr magnetons per cell; volume = 595.2 Å³ per cell; symmetry = Fddd, No. 70
1.0
-4.864 -1.050 3.682
-4.995 -5.400 -2.936
4.278 -10.073 7.983
Te K Au Nb
8 4 2 2
Direct
0.902 0.787 0.878
0.311 0.787 0.122
0.568 0.213 0.122
0.220 0.213 0.878
0.439 0.713 0.378
0.530 0.287 0.622
0.848 0.713 0.622
0.182 0.287 0.378
0.187 0.000 0.626
0.813 0.000 0.374
0.563 0.500 0.874
0.937 0.500 0.126
0.750 0.500 0.500
0.000 0.000 0.000
0.250 0.500 0.500
0.500 0.000 0.000

Record 8
LiTm3Pd5, optimized geometry, DFT GGA-PBE; E_form = -0.829 eV per atom; E_tot = -5.42 eV per atom; M_tot = 0.0 Bohr magnetons per cell; volume = 341.8 Å³ per cell; symmetry = P6_3/mcm, No. 193
1.0
-3.617 3.976 -1.763
-6.314 -4.186 3.515
4.167 5.745 4.406
Tm Li Pd
6 2 10
Direct
0.750 0.000 0.634
0.250 0.634 0.634
0.250 0.000 0.366
0.750 0.366 0.366
0.750 0.634 0.000
0.250 0.366 0.000
0.000 0.000 0.000
0.500 0.000 0.000
0.250 0.700 0.000
0.750 0.300 0.000
0.250 0.000 0.700
0.000 0.667 0.333
0.750 0.000 0.300
0.000 0.333 0.667
0.500 0.667 0.333
0.500 0.333 0.667
0.750 0.700 0.700
0.250 0.300 0.300

Record 9
TiBe2GaRh, optimized geometry, DFT GGA-PBE; E_form = 0.554 eV per atom; E_tot = -4.59 eV per atom; M_tot = 0.0 Bohr magnetons per cell; volume = 76.1 Å³ per cell; symmetry = P4/mmm, No. 123
1.0
4.072 0.000 0.000
0.000 4.587 0.000
0.000 0.000 4.072
Be Ga Ti Rh
2 1 1 1
Direct
0.000 0.000 0.500
0.500 0.000 0.000
0.000 0.000 0.000
0.500 0.500 0.500
0.000 0.500 0.000

Record 10
Sr2LiW, optimized geometry, DFT GGA-PBE; E_form = 1.010 eV per atom; E_tot = -3.55 eV per atom; M_tot = 0.0 Bohr magnetons per cell; volume = 113.1 Å³ per cell; symmetry = R-3m, No. 166
1.0
11.614 -0.012 -0.007
11.127 3.330 -0.007
11.127 1.624 2.908
Li W Sr
1 1 2
Direct
0.750 0.750 0.750
0.250 0.250 0.250
0.508 0.508 0.508
0.992 0.992 0.992

Record 11
Sr3Ga2Hg9, optimized geometry, DFT GGA-PBE; E_form = -0.316 eV per atom; E_tot = -1.30 eV per atom; M_tot = 0.0 Bohr magnetons per cell; volume = 376.6 Å³ per cell; symmetry = Immm, No. 71
1.0
4.792 0.000 1.287
1.823 8.600 2.779
0.093 0.204 9.217
Hg Sr Ga
9 3 2
Direct
0.140 0.573 0.146
0.000 0.500 0.500
0.351 0.014 0.285
0.860 0.854 0.427
0.351 0.285 0.014
0.860 0.427 0.854
0.649 0.986 0.715
0.649 0.715 0.986
0.140 0.146 0.573
0.000 0.000 0.000
0.300 0.700 0.700
0.700 0.300 0.300
0.500 0.315 0.685
0.500 0.685 0.315

Record 12
CsNbBr6, optimized geometry, DFT GGA-PBE; formation energy without anion corrections = -1120 meV per atom; E_tot = -3.74 eV per atom; M_tot = 0.0 Bohr magnetons per cell; volume = 598.3 Å³ per cell; symmetry = C2/c, No. 15
1.0
-2.151 -4.481 -4.952
7.303 0.647 1.212
-3.245 -8.834 9.404
Br Nb Cs
12 2 2
Direct
0.881 0.574 0.338
0.701 0.304 0.035
0.808 0.839 0.104
0.031 0.839 0.604
0.396 0.696 0.465
0.604 0.304 0.535
0.299 0.696 0.965
0.969 0.161 0.396
0.693 0.574 0.838
0.307 0.426 0.162
0.119 0.426 0.662
0.192 0.161 0.896
0.500 0.500 0.000
0.000 0.500 0.500
0.595 0.000 0.750
0.405 0.000 0.250

Record 13
CaY3Co, optimized geometry, DFT GGA-PBE; E_form = -0.054 eV per atom; E_tot = -5.75 eV per atom; M_tot = 0.0 Bohr magnetons per cell; volume = 152.8 Å³ per cell; symmetry = Pm-3m, No. 221
1.0
5.347 0.000 0.000
0.000 5.347 0.000
0.000 0.000 5.347
Co Y Ca
1 3 1
Direct
0.000 0.000 0.000
0.000 0.500 0.000
0.500 0.000 0.000
0.000 0.000 0.500
0.500 0.500 0.500

Record 14
MnHg2Pd9, optimized geometry, DFT GGA-PBE; E_form = -0.140 eV per atom; E_tot = -4.85 eV per atom; M_tot = 4.3 Bohr magnetons per cell; volume = 193.5 Å³ per cell; symmetry = P4/mmm, No. 123
1.0
3.994 0.000 0.000
0.000 3.994 0.000
0.000 0.000 12.128
Pd Mn Hg
9 1 2
Direct
0.500 0.000 0.500
0.500 0.500 0.673
0.500 0.500 0.327
0.500 0.500 0.000
0.500 0.000 0.844
0.000 0.500 0.500
0.500 0.000 0.156
0.000 0.500 0.844
0.000 0.500 0.156
0.000 0.000 0.000
0.000 0.000 0.330
0.000 0.000 0.670

Record 15
Ba5Li2Ag2, optimized geometry, DFT GGA-PBE; E_form = -0.053 eV per atom; E_tot = -2.18 eV per atom; M_tot = 0.0 Bohr magnetons per cell; volume = 765.8 Å³ per cell; symmetry = Cc, No. 9
1.0
-2.471 6.119 3.493
-8.430 -5.414 3.524
10.376 -2.873 4.407
Ba Ag Li
10 4 4
Direct
0.632 0.507 0.284
0.731 0.195 0.500
0.879 0.865 0.140
0.379 0.775 0.140
0.348 0.493 0.716
0.739 0.135 0.860
0.847 0.723 0.715
0.230 0.805 0.500
0.132 0.277 0.284
0.239 0.225 0.860
0.657 0.500 0.000
0.233 0.125 0.500
0.157 0.000 0.000
0.733 0.875 0.500
0.408 0.880 0.868
0.039 0.511 0.132
0.908 0.489 0.868
0.539 0.121 0.132

Record 16
AsOs2Cl, optimized geometry, DFT GGA-PBE; formation energy without anion corrections = 368 meV per atom; E_tot = -6.87 eV per atom; M_tot = 0.0 Bohr magnetons per cell; volume = 70.2 Å³ per cell; symmetry = R3m, No. 160
1.0
9.723 -0.034 -0.020
9.298 2.844 -0.020
9.298 1.374 2.490
Os Cl As
2 1 1
Direct
0.994 0.994 0.994
0.256 0.256 0.256
0.730 0.730 0.730
0.520 0.520 0.520

Record 17
TaInCuPt, optimized geometry, DFT GGA-PBE; E_form = -0.155 eV per atom; E_tot = -6.34 eV per atom; M_tot = 0.0 Bohr magnetons per cell; volume = 67.0 Å³ per cell; symmetry = F-43m, No. 216
1.0
4.559 0.000 0.000
2.279 3.948 0.000
2.279 1.316 3.722
In Cu Ta Pt
1 1 1 1
Direct
0.500 0.500 0.500
0.250 0.250 0.250
0.000 0.000 0.000
0.750 0.750 0.750

Record 18
Pm8Cd2Rh, optimized geometry, DFT GGA-PBE; E_form = -0.215 eV per atom; E_tot = -4.50 eV per atom; M_tot = 0.0 Bohr magnetons per cell; volume = 329.1 Å³ per cell; symmetry = C2/m, No. 12
1.0
5.449 0.000 0.000
0.000 7.039 0.109
-2.724 -2.894 8.537
Pm Cd Rh
8 2 1
Direct
0.980 0.218 0.960
0.651 0.948 0.301
0.591 0.424 0.183
0.200 0.284 0.400
0.020 0.782 0.040
0.349 0.052 0.699
0.409 0.576 0.817
0.800 0.716 0.600
0.185 0.713 0.370
0.815 0.287 0.630
0.500 0.000 0.000

Record 19
Tc2MoW, optimized geometry, DFT GGA-PBE; E_form = 0.812 eV per atom; E_tot = -10.32 eV per atom; M_tot = 0.0 Bohr magnetons per cell; volume = 132.3 Å³ per cell; symmetry = I-42d, No. 122
1.0
-7.108 0.122 -0.424
0.168 -5.580 -4.422
-3.619 -4.350 -0.383
Tc W Mo
4 2 2
Direct
0.875 0.876 0.750
0.375 0.374 0.750
0.626 0.125 0.250
0.124 0.625 0.250
0.750 0.250 0.500
0.000 0.000 0.000
0.500 0.500 0.000
0.250 0.750 0.500

Record 20
Li2CuTe, optimized geometry, DFT GGA-PBE; formation energy without anion corrections = -362 meV per atom; E_tot = -3.13 eV per atom; M_tot = 0.0 Bohr magnetons per cell; volume = 68.4 Å³ per cell; symmetry = I-4m2, No. 119
1.0
-4.080 -2.761 1.117
1.001 -3.242 3.742
0.733 4.971 -0.507
Li Te Cu
2 1 1
Direct
0.000 0.000 0.000
0.750 0.250 0.500
0.500 0.500 0.000
0.250 0.750 0.500

Record 21
CuAuOF2, optimized geometry, DFT GGA-PBE; formation energy without anion corrections = -77 meV per atom; E_tot = -3.29 eV per atom; M_tot = 0.0 Bohr magnetons per cell; volume = 86.6 Å³ per cell; symmetry = P4/mmm, No. 123
1.0
4.781 0.000 0.000
0.000 4.781 0.000
0.000 0.000 3.788
F Au O Cu
2 1 1 1
Direct
0.500 0.000 0.000
0.000 0.500 0.000
0.000 0.000 0.000
0.000 0.000 0.500
0.500 0.500 0.500

Record 22
SbAsP2, optimized geometry, DFT GGA-PBE; formation energy without anion corrections = 618 meV per atom; E_tot = -4.28 eV per atom; M_tot = 0.0 Bohr magnetons per cell; volume = 80.9 Å³ per cell; symmetry = I-4m2, No. 119
1.0
-5.389 0.477 -3.117
-5.844 -0.001 2.199
5.709 2.427 0.706
P As Sb
2 1 1
Direct
0.000 0.000 0.000
0.250 0.750 0.500
0.750 0.250 0.500
0.500 0.500 0.000

Record 23
NaHCl3, optimized geometry, DFT GGA-PBE; E_tot = -2.24 eV per atom; M_tot = 1.0 Bohr magnetons per cell; volume = 93.7 Å³ per cell; symmetry = Pm-3m, No. 221
1.0
-4.039 -1.996 0.571
1.753 -3.948 -1.401
1.113 -1.026 4.282
Na Cl H
1 3 1
Direct
0.500 0.500 0.500
0.000 0.000 0.500
0.500 0.000 0.000
0.000 0.500 0.000
0.000 0.000 0.000